Record 1
Entry from the Alexandria database: a PBEsol-optimized structure of ZrCuRe2O (meta-GGA SCAN).

Unit cell a=4.906 b=4.906 c=3.849 alpha=90.00 beta=90.00 gamma=90.00
Atoms (fractional coordinates):
Zr1 0.000 0.000 0.000
Cu1 0.500 0.500 0.500
Re1 0.000 0.500 0.000
Re2 0.500 0.000 0.000
O1 0.000 0.000 0.500

Total energy ... -37.162 eV/atom
E_form (uncorrected) ... 1703 meV per atom
ρ ... 9.74 g/cm³

---

Record 2
Entry from the Alexandria database: a PBEsol-optimized structure of ZrBe3N (meta-GGA SCAN).

Unit cell a=4.771 b=4.771 c=4.771 alpha=90.00 beta=90.00 gamma=90.00
Atoms (fractional coordinates):
Zr1 0.000 0.000 0.000
Be1 0.000 0.000 0.500
Be2 0.000 0.500 0.000
Be3 0.500 0.000 0.000
N1 0.500 0.500 0.500

Total energy ... -7.773 eV/atom
E_form (uncorrected) ... 2837 meV per atom
ρ ... 2.02 g/cm³

---

Record 3
Entry from the Alexandria database: a PBEsol-optimized structure of Ga2HgTe4 (meta-GGA SCAN).

Unit cell a=5.934 b=5.934 c=12.290 alpha=90.00 beta=90.00 gamma=90.00
Atoms (fractional coordinates):
Ga1 0.000 0.500 0.250
Ga2 0.000 0.500 0.750
Ga3 0.500 0.000 0.250
Ga4 0.500 0.000 0.750
Hg1 0.000 0.000 0.000
Hg2 0.500 0.500 0.500
Te1 0.215 0.215 0.380
Te2 0.215 0.785 0.620
Te3 0.285 0.285 0.880
Te4 0.285 0.715 0.120
Te5 0.715 0.285 0.120
Te6 0.715 0.715 0.880
Te7 0.785 0.215 0.620
Te8 0.785 0.785 0.380

Energy above the most stable polymorph in this dataset ... 13 meV/atom
Total energy ... -35.987 eV/atom
E_form (uncorrected) ... -293 meV per atom
ρ ... 6.53 g/cm³

---

Record 4
Entry from the Alexandria database: a PBEsol-optimized structure of Ta2InRh (meta-GGA SCAN).

Unit cell a=3.277 b=4.410 c=9.326 alpha=90.00 beta=90.00 gamma=90.00
Atoms (fractional coordinates):
Ta1 0.000 0.000 0.240
Ta2 0.000 0.000 0.760
Ta3 0.500 0.500 0.260
Ta4 0.500 0.500 0.740
In1 0.000 0.500 0.000
In2 0.500 0.000 0.500
Rh1 0.000 0.500 0.500
Rh2 0.500 0.000 0.000

Total energy ... -50.291 eV/atom
Calculated formation energy ... -0.210 eV per atom
ρ ... 14.28 g/cm³

---

Record 5
Entry from the Alexandria database: a PBEsol-optimized structure of CrTeN3 (meta-GGA SCAN).

Unit cell a=3.920 b=3.920 c=3.920 alpha=90.00 beta=90.00 gamma=90.00
Atoms (fractional coordinates):
Cr1 0.000 0.000 0.000
Te1 0.500 0.500 0.500
N1 0.000 0.500 0.500
N2 0.500 0.000 0.500
N3 0.500 0.500 0.000

Total energy ... -15.269 eV/atom
E_form (uncorrected) ... 1433 meV per atom
ρ ... 6.11 g/cm³

---

Record 6
Entry from the Alexandria database: a PBEsol-optimized structure of Zn4Pt (meta-GGA SCAN).

Unit cell a=3.388 b=3.388 c=12.874 alpha=90.00 beta=90.00 gamma=90.00
Atoms (fractional coordinates):
Zn1 0.000 0.000 0.094
Zn2 0.000 0.000 0.906
Zn3 0.000 0.500 0.250
Zn4 0.000 0.500 0.750
Zn5 0.500 0.000 0.250
Zn6 0.500 0.000 0.750
Zn7 0.500 0.500 0.406
Zn8 0.500 0.500 0.594
Pt1 0.000 0.000 0.500
Pt2 0.500 0.500 0.000

Total energy ... -24.874 eV/atom
Calculated formation energy ... -0.023 eV per atom
ρ ... 10.26 g/cm³

---

Question: total energy of number 6 (Zn4Pt)?
Answer: -24.874 eV/atom

---

Question: The highest ρ belongs to which entry?
Answer: Ta2InRh